Record 1
Material: TlCuPb3
Method: DFT, GGA-PBE
State: optimized geometry

Cell: 5.351 5.351 5.351 Å, 90.00 90.00 90.00°
Fractional coordinates of all 5 atoms:
Tl 0.000 0.000 0.000
Cu 0.500 0.500 0.500
Pb 0.000 0.500 0.500
Pb 0.500 0.000 0.500
Pb 0.500 0.500 0.000

Output
Electronic total energy (eV/atom): -3.3057
Magnetic moment (μB/f.u.): 0.00
Energy relative to the elements (eV per atom): 0.212
Space group: No. 221

***

Record 2
Material: HgB3Te
Method: DFT, GGA-PBE
State: optimized geometry

Cell: 4.511 4.511 4.511 Å, 90.00 90.00 90.00°
Fractional coordinates of all 5 atoms:
Hg 0.000 0.000 0.000
B 0.000 0.500 0.500
B 0.500 0.000 0.500
B 0.500 0.500 0.000
Te 0.500 0.500 0.500

Output
Electronic total energy (eV/atom): -2.5456
Magnetic moment (μB/f.u.): 0.00
Uncorrected formation energy (eV/atom): 2.150
Space group: No. 221

***

Record 3
Material: BaOsPd3
Method: DFT, GGA-PBE
State: optimized geometry

Cell: 5.242 5.242 5.242 Å, 90.00 90.00 90.00°
Fractional coordinates of all 5 atoms:
Ba 0.000 0.000 0.000
Os 0.500 0.500 0.500
Pd 0.000 0.000 0.500
Pd 0.000 0.500 0.000
Pd 0.500 0.000 0.000

Output
Electronic total energy (eV/atom): -3.6657
Magnetic moment (μB/f.u.): 3.07
Energy relative to the elements (eV per atom): 2.081
Space group: No. 221

***

Record 4
Material: KSiHg2As
Method: DFT, GGA-PBE
State: optimized geometry

Cell: 5.376 5.376 6.350 Å, 90.00 90.00 90.00°
Fractional coordinates of all 5 atoms:
K 0.000 0.000 0.000
Si 0.500 0.500 0.000
Hg 0.000 0.500 0.500
Hg 0.500 0.000 0.500
As 0.000 0.000 0.500

Output
Electronic total energy (eV/atom): -1.7678
Magnetic moment (μB/f.u.): 2.38
Uncorrected formation energy (eV/atom): 0.587
Space group: No. 123

***

Record 5
Material: AgAsI3
Method: DFT, GGA-PBE
State: optimized geometry

Cell: 7.531 7.687 15.575 Å, 90.00 106.96 90.00°
Fractional coordinates of all 20 atoms:
Ag 0.154 0.035 0.249
Ag 0.154 0.465 0.749
Ag 0.846 0.535 0.251
Ag 0.846 0.965 0.751
As 0.332 0.041 0.957
As 0.332 0.459 0.457
As 0.668 0.541 0.543
As 0.668 0.959 0.043
I 0.192 0.674 0.260
I 0.192 0.826 0.760
I 0.240 0.199 0.092
I 0.240 0.301 0.592
I 0.461 0.193 0.388
I 0.461 0.307 0.888
I 0.539 0.693 0.112
I 0.539 0.807 0.612
I 0.760 0.699 0.408
I 0.760 0.801 0.908
I 0.808 0.174 0.240
I 0.808 0.326 0.740

Output
Electronic total energy (eV/atom): -2.5660
Magnetic moment (μB/f.u.): 0.00
Uncorrected formation energy (eV/atom): -0.136
Space group: No. 14

***

Record 6
Material: ZrCr2Cd
Method: DFT, GGA-PBE
State: optimized geometry

Cell: 3.242 4.604 9.177 Å, 90.00 90.00 90.00°
Fractional coordinates of all 8 atoms:
Zr 0.000 0.000 0.000
Zr 0.500 0.500 0.500
Cr 0.000 0.000 0.542
Cr 0.000 0.500 0.228
Cr 0.500 0.000 0.728
Cr 0.500 0.500 0.042
Cd 0.000 0.500 0.779
Cd 0.500 0.000 0.279

Output
Electronic total energy (eV/atom): -6.8710
Magnetic moment (μB/f.u.): 0.57
Energy relative to the elements (eV per atom): 0.306
Space group: No. 44

***

Record 7
Material: LiNiP2Br
Method: DFT, GGA-PBE
State: optimized geometry

Cell: 5.108 5.108 4.336 Å, 90.00 90.00 90.00°
Fractional coordinates of all 5 atoms:
Li 0.000 0.000 0.000
Ni 0.500 0.500 0.000
P 0.000 0.500 0.500
P 0.500 0.000 0.500
Br 0.500 0.500 0.500

Output
Electronic total energy (eV/atom): -2.9680
Magnetic moment (μB/f.u.): 1.15
Uncorrected formation energy (eV/atom): 1.070
Space group: No. 123

***

Record 8
Material: Mn2RuPt
Method: DFT, GGA-PBE
State: optimized geometry

Cell: 5.360 7.365 2.668 Å, 90.00 90.00 90.00°
Fractional coordinates of all 8 atoms:
Mn 0.250 0.250 0.000
Mn 0.250 0.750 0.000
Mn 0.750 0.250 0.000
Mn 0.750 0.750 0.000
Ru 0.000 0.000 0.500
Ru 0.500 0.500 0.500
Pt 0.000 0.500 0.500
Pt 0.500 0.000 0.500

Output
Electronic total energy (eV/atom): -8.4361
Magnetic moment (μB/f.u.): 2.98
Energy relative to the elements (eV per atom): -0.022
Space group: No. 65

***

Record 9
Material: RbAu2
Method: DFT, GGA-PBE
State: optimized geometry

Cell: 12.453 4.803 6.789 Å, 90.00 114.22 90.00°
Fractional coordinates of all 12 atoms:
Rb 0.109 0.000 0.303
Rb 0.391 0.500 0.697
Rb 0.609 0.500 0.303
Rb 0.891 0.000 0.697
Au 0.101 0.500 0.689
Au 0.208 0.000 0.887
Au 0.292 0.500 0.113
Au 0.399 0.000 0.311
Au 0.601 0.000 0.689
Au 0.708 0.500 0.887
Au 0.792 0.000 0.113
Au 0.899 0.500 0.311

Output
Electronic total energy (eV/atom): -2.7567
Magnetic moment (μB/f.u.): 0.00
Energy relative to the elements (eV per atom): -0.249
Space group: No. 12

***

Record 10
Material: Th2CdGaCo
Method: DFT, GGA-PBE
State: optimized geometry

Cell: 8.090 3.832 8.595 Å, 90.00 110.46 90.00°
Fractional coordinates of all 10 atoms:
Th 0.126 0.250 0.396
Th 0.218 0.250 0.016
Th 0.782 0.750 0.984
Th 0.874 0.750 0.604
Cd 0.331 0.750 0.739
Cd 0.669 0.250 0.261
Ga 0.460 0.750 0.376
Ga 0.540 0.250 0.624
Co 0.152 0.750 0.202
Co 0.848 0.250 0.798

Output
Electronic total energy (eV/atom): -5.4052
Magnetic moment (μB/f.u.): 0.00
Energy relative to the elements (eV per atom): -0.228
Space group: No. 11

***

Record 11
Material: Zr2ZnTe
Method: DFT, GGA-PBE
State: optimized geometry

Cell: 4.542 4.542 8.090 Å, 90.00 90.00 90.00°
Fractional coordinates of all 8 atoms:
Zr 0.000 0.500 0.250
Zr 0.000 0.500 0.750
Zr 0.500 0.000 0.250
Zr 0.500 0.000 0.750
Zn 0.000 0.000 0.000
Zn 0.500 0.500 0.500
Te 0.000 0.000 0.500
Te 0.500 0.500 0.000

Output
Electronic total energy (eV/atom): -5.7136
Magnetic moment (μB/f.u.): 0.00
Uncorrected formation energy (eV/atom): -0.336
Space group: No. 139

***

Record 12
Material: LaCrCl
Method: DFT, GGA-PBE
State: optimized geometry

Cell: 3.547 3.547 13.626 Å, 90.00 90.00 90.00°
Fractional coordinates of all 6 atoms:
La 0.000 0.000 0.000
La 0.500 0.500 0.500
Cr 0.000 0.000 0.344
Cr 0.500 0.500 0.844
Cl 0.000 0.000 0.630
Cl 0.500 0.500 0.130

Output
Electronic total energy (eV/atom): -5.7069
Magnetic moment (μB/f.u.): 4.19
Uncorrected formation energy (eV/atom): -0.241
Space group: No. 107

***

Record 13
Material: Lu2ThPd
Method: DFT, GGA-PBE
State: optimized geometry

Cell: 3.577 3.577 29.036 Å, 90.00 90.00 120.00°
Fractional coordinates of all 12 atoms:
Lu 0.000 0.000 0.233
Lu 0.000 0.000 0.767
Lu 0.333 0.667 0.434
Lu 0.333 0.667 0.900
Lu 0.667 0.333 0.100
Lu 0.667 0.333 0.566
Th 0.000 0.000 0.000
Th 0.333 0.667 0.667
Th 0.667 0.333 0.333
Pd 0.000 0.000 0.500
Pd 0.333 0.667 0.167
Pd 0.667 0.333 0.833

Output
Electronic total energy (eV/atom): -5.7105
Magnetic moment (μB/f.u.): 0.00
Energy relative to the elements (eV per atom): -0.297
Space group: No. 166

***

Record 14
Material: PrS6Cl2
Method: DFT, GGA-PBE
State: optimized geometry

Cell: 4.303 7.614 9.221 Å, 110.82 92.37 90.41°
Fractional coordinates of all 9 atoms:
Pr 0.000 0.000 0.000
S 0.090 0.265 0.316
S 0.102 0.723 0.440
S 0.114 0.503 0.713
S 0.886 0.497 0.287
S 0.898 0.277 0.560
S 0.910 0.735 0.684
Cl 0.500 0.185 0.922
Cl 0.500 0.815 0.078

Output
Electronic total energy (eV/atom): -4.3342
Magnetic moment (μB/f.u.): 0.29
Uncorrected formation energy (eV/atom): -0.641
Space group: No. 2

***

Record 15
Material: CsReN2F
Method: DFT, GGA-PBE
State: optimized geometry

Cell: 3.917 3.917 5.225 Å, 90.00 90.00 90.00°
Fractional coordinates of all 5 atoms:
Cs 0.000 0.000 0.000
Re 0.500 0.500 0.500
N 0.000 0.500 0.500
N 0.500 0.000 0.500
F 0.500 0.500 0.000

Output
Electronic total energy (eV/atom): -6.7280
Magnetic moment (μB/f.u.): 0.54
Uncorrected formation energy (eV/atom): -0.363
Space group: No. 123

***

Record 16
Material: InHgBiTe3
Method: DFT, GGA-PBE
State: optimized geometry

Cell: 9.792 4.541 10.746 Å, 90.00 103.92 90.00°
Fractional coordinates of all 12 atoms:
In 0.074 0.250 0.140
In 0.926 0.750 0.860
Hg 0.202 0.250 0.758
Hg 0.798 0.750 0.242
Bi 0.338 0.750 0.390
Bi 0.662 0.250 0.610
Te 0.112 0.250 0.404
Te 0.202 0.750 0.038
Te 0.452 0.750 0.667
Te 0.548 0.250 0.333
Te 0.798 0.250 0.962
Te 0.888 0.750 0.596

Output
Electronic total energy (eV/atom): -2.9198
Magnetic moment (μB/f.u.): 0.00
Uncorrected formation energy (eV/atom): -0.195
Space group: No. 11

***

Record 17
Material: PrEr2TmAu4
Method: DFT, GGA-PBE
State: optimized geometry

Cell: 9.009 9.009 9.009 Å, 32.63 32.63 32.63°
Fractional coordinates of all 8 atoms:
Pr 0.000 0.000 0.000
Er 0.248 0.248 0.248
Er 0.752 0.752 0.752
Tm 0.500 0.500 0.500
Au 0.129 0.129 0.129
Au 0.384 0.384 0.384
Au 0.616 0.616 0.616
Au 0.871 0.871 0.871

Output
Electronic total energy (eV/atom): -4.7778
Magnetic moment (μB/f.u.): 0.00
Energy relative to the elements (eV per atom): -0.842
Space group: No. 166

***

Record 18
Material: Mn2CoPt
Method: DFT, GGA-PBE
State: optimized geometry

Cell: 5.815 5.815 5.815 Å, 90.00 90.00 90.00°
Fractional coordinates of all 16 atoms:
Mn 0.250 0.250 0.250
Mn 0.250 0.250 0.750
Mn 0.250 0.750 0.250
Mn 0.250 0.750 0.750
Mn 0.750 0.250 0.250
Mn 0.750 0.250 0.750
Mn 0.750 0.750 0.250
Mn 0.750 0.750 0.750
Co 0.000 0.000 0.000
Co 0.000 0.500 0.500
Co 0.500 0.000 0.500
Co 0.500 0.500 0.000
Pt 0.000 0.000 0.500
Pt 0.000 0.500 0.000
Pt 0.500 0.000 0.000
Pt 0.500 0.500 0.500

Output
Electronic total energy (eV/atom): -7.4559
Magnetic moment (μB/f.u.): 0.00
Energy relative to the elements (eV per atom): 0.416
Space group: No. 225

***

Record 19
Material: Ba2NaCaF
Method: DFT, GGA-PBE
State: optimized geometry

Cell: 6.722 6.722 4.506 Å, 90.00 90.00 90.00°
Fractional coordinates of all 5 atoms:
Ba 0.000 0.500 0.000
Ba 0.500 0.000 0.000
Na 0.000 0.000 0.500
Ca 0.500 0.500 0.500
F 0.500 0.500 0.000

Output
Electronic total energy (eV/atom): -2.8541
Magnetic moment (μB/f.u.): 0.71
Uncorrected formation energy (eV/atom): -1.047
Space group: No. 123

***

Record 20
Material: VFeSeI2
Method: DFT, GGA-PBE
State: optimized geometry

Cell: 5.346 5.346 4.892 Å, 90.00 90.00 90.00°
Fractional coordinates of all 5 atoms:
V 0.000 0.000 0.000
Fe 0.000 0.000 0.500
Se 0.500 0.500 0.500
I 0.000 0.500 0.000
I 0.500 0.000 0.000

Output
Electronic total energy (eV/atom): -3.9798
Magnetic moment (μB/f.u.): 2.89
Uncorrected formation energy (eV/atom): 0.853
Space group: No. 123

***

Record 21
Material: Ba3Tl5
Method: DFT, GGA-PBE
State: optimized geometry

Cell: 7.193 9.327 9.786 Å, 85.59 68.48 77.75°
Fractional coordinates of all 16 atoms:
Ba 0.160 0.000 0.181
Ba 0.194 0.322 0.500
Ba 0.219 0.499 0.062
Ba 0.781 0.501 0.938
Ba 0.806 0.678 0.500
Ba 0.840 0.000 0.819
Tl 0.216 0.634 0.684
Tl 0.261 0.173 0.824
Tl 0.306 0.935 0.500
Tl 0.400 0.634 0.317
Tl 0.415 0.826 0.824
Tl 0.585 0.174 0.176
Tl 0.600 0.366 0.683
Tl 0.694 0.065 0.500
Tl 0.739 0.827 0.176
Tl 0.784 0.366 0.316

Output
Electronic total energy (eV/atom): -2.5175
Magnetic moment (μB/f.u.): 0.00
Energy relative to the elements (eV per atom): -0.318
Space group: No. 2

***

Record 22
Material: Li2MoH2
Method: DFT, GGA-PBE
State: optimized geometry

Cell: 5.778 5.778 2.776 Å, 90.00 90.00 90.00°
Fractional coordinates of all 10 atoms:
Li 0.141 0.359 0.000
Li 0.359 0.859 0.000
Li 0.641 0.141 0.000
Li 0.859 0.641 0.000
Mo 0.000 0.000 0.500
Mo 0.500 0.500 0.500
H 0.198 0.698 0.500
H 0.302 0.198 0.500
H 0.698 0.802 0.500
H 0.802 0.302 0.500

Output
Electronic total energy (eV/atom): -4.0023
Magnetic moment (μB/f.u.): 0.00
Space group: No. 127

***

Record 23
Material: Cs6Cl3OF2
Method: DFT, GGA-PBE
State: optimized geometry

Cell: 8.077 8.077 8.131 Å, 99.47 99.47 120.04°
Fractional coordinates of all 12 atoms:
Cs 0.088 0.428 0.784
Cs 0.233 0.233 0.215
Cs 0.428 0.088 0.784
Cs 0.572 0.912 0.216
Cs 0.767 0.767 0.785
Cs 0.912 0.572 0.216
Cl 0.000 0.000 0.500
Cl 0.336 0.664 0.500
Cl 0.664 0.336 0.500
O 0.500 0.500 0.000
F 0.167 0.833 0.000
F 0.833 0.167 0.000

Output
Electronic total energy (eV/atom): -3.5576
Magnetic moment (μB/f.u.): 1.00
Uncorrected formation energy (eV/atom): -1.944
Space group: No. 12

***

Record 24
Material: Y2Al4ZnIr3
Method: DFT, GGA-PBE
State: optimized geometry

Cell: 4.077 4.077 10.977 Å, 90.00 90.00 90.00°
Fractional coordinates of all 10 atoms:
Y 0.000 0.500 0.244
Y 0.500 0.000 0.756
Al 0.000 0.000 0.000
Al 0.000 0.500 0.635
Al 0.500 0.000 0.365
Al 0.500 0.500 0.000
Zn 0.000 0.000 0.500
Ir 0.000 0.500 0.863
Ir 0.500 0.000 0.137
Ir 0.500 0.500 0.500

Output
Electronic total energy (eV/atom): -6.3332
Magnetic moment (μB/f.u.): 0.00
Energy relative to the elements (eV per atom): -0.758
Space group: No. 115

***

Record 25
Material: MgPtIN2
Method: DFT, GGA-PBE
State: optimized geometry

Cell: 4.048 4.048 6.292 Å, 90.00 90.00 90.00°
Fractional coordinates of all 5 atoms:
Mg 0.000 0.000 0.000
Pt 0.500 0.500 0.500
I 0.000 0.000 0.500
N 0.000 0.500 0.000
N 0.500 0.000 0.000

Output
Electronic total energy (eV/atom): -3.7413
Magnetic moment (μB/f.u.): 4.26
Uncorrected formation energy (eV/atom): 1.426
Space group: No. 123

***

Record 26
Material: Be4PAu
Method: DFT, GGA-PBE
State: optimized geometry

Cell: 4.546 4.546 4.546 Å, 60.00 60.00 60.00°
Fractional coordinates of all 6 atoms:
Be 0.376 0.376 0.376
Be 0.376 0.376 0.873
Be 0.376 0.873 0.376
Be 0.873 0.376 0.376
P 0.750 0.750 0.750
Au 0.000 0.000 0.000

Output
Electronic total energy (eV/atom): -3.6769
Magnetic moment (μB/f.u.): 0.00
Energy relative to the elements (eV per atom): 0.255
Space group: No. 216